[1]
{
  "formula": "Tm3NiSn3Ir2",
  "functional": "PBE",
  "state": "relaxed",
  "dft_energy_ev_per_fu": -55.96,
  "lattice_angstrom": [[7.5342, 0.0000, 0.0000], [-3.7671, 6.5248, 0.0000], [0.0000, 0.0000, 3.7038]],
  "species": ["Tm", "Tm", "Tm", "Ni", "Sn", "Sn", "Sn", "Ir", "Ir"],
  "fractional_positions": [[0.0000, 0.4074, 0.0000], [0.4074, 0.0000, 0.0000], [0.5926, 0.5926, 0.0000], [0.0000, 0.0000, 0.0000], [0.0000, 0.7429, 0.5000], [0.2571, 0.2571, 0.5000], [0.7429, 0.0000, 0.5000], [0.3333, 0.6667, 0.5000], [0.6667, 0.3333, 0.5000]]
}


[2]
{
  "formula": "SrNi2Ir",
  "functional": "PBE",
  "state": "relaxed",
  "dft_energy_ev_per_fu": -19.32,
  "lattice_angstrom": [[0.0000, 3.2176, 3.2176], [3.2176, 0.0000, 3.2176], [3.2176, 3.2176, 0.0000]],
  "species": ["Sr", "Ni", "Ni", "Ir"],
  "fractional_positions": [[0.0000, 0.0000, 0.0000], [0.5000, 0.5000, 0.5000], [0.7500, 0.7500, 0.7500], [0.2500, 0.2500, 0.2500]]
}


[3]
{
  "formula": "TaNi2Ir",
  "functional": "PBE",
  "state": "relaxed",
  "formation_enthalpy_0k_mev_per_atom": -492,
  "dft_energy_ev_per_fu": -33.81,
  "lattice_angstrom": [[2.6694, -4.6204, 0.0000], [2.6694, 4.6204, 0.0000], [0.0000, 0.0000, 4.3111]],
  "species": ["Ta", "Ta", "Ni", "Ni", "Ni", "Ni", "Ir", "Ir"],
  "fractional_positions": [[0.1675, 0.8325, 0.7500], [0.8325, 0.1675, 0.2500], [0.1725, 0.3288, 0.7500], [0.3288, 0.1725, 0.2500], [0.6712, 0.8275, 0.7500], [0.8275, 0.6712, 0.2500], [0.3380, 0.6620, 0.2500], [0.6620, 0.3380, 0.7500]]
}


[4]
{
  "formula": "TaZnNiIr",
  "functional": "PBE",
  "state": "relaxed",
  "formation_enthalpy_0k_mev_per_atom": -117,
  "dft_energy_ev_per_fu": -28.01,
  "lattice_angstrom": [[0.0000, 3.0801, 3.0801], [3.0801, 0.0000, 3.0801], [3.0801, 3.0801, 0.0000]],
  "species": ["Ta", "Zn", "Ni", "Ir"],
  "fractional_positions": [[0.0000, 0.0000, 0.0000], [0.2500, 0.2500, 0.2500], [0.5000, 0.5000, 0.5000], [0.7500, 0.7500, 0.7500]]
}


[5]
{
  "formula": "TbNi3Ir2",
  "functional": "PBE",
  "state": "relaxed",
  "formation_enthalpy_0k_mev_per_atom": -266,
  "dft_energy_ev_per_fu": -40.64,
  "lattice_angstrom": [[5.0187, 0.0000, 0.0000], [-2.5093, 4.3463, 0.0000], [0.0000, 0.0000, 4.1713]],
  "species": ["Tb", "Ni", "Ni", "Ni", "Ir", "Ir"],
  "fractional_positions": [[0.0000, 0.0000, 0.0000], [0.0000, 0.5000, 0.5000], [0.5000, 0.0000, 0.5000], [0.5000, 0.5000, 0.5000], [0.3333, 0.6667, 0.0000], [0.6667, 0.3333, 0.0000]]
}


[6]
{
  "formula": "Tb3Zn3Ni2Ir",
  "functional": "PBE",
  "state": "relaxed",
  "formation_enthalpy_0k_mev_per_atom": -507,
  "dft_energy_ev_per_fu": -42.24,
  "lattice_angstrom": [[7.0694, 0.0000, 0.0000], [-3.5347, 6.1223, 0.0000], [0.0000, 0.0000, 3.8469]],
  "species": ["Tb", "Tb", "Tb", "Zn", "Zn", "Zn", "Ni", "Ni", "Ir"],
  "fractional_positions": [[0.0000, 0.5927, 0.0000], [0.4073, 0.4073, 0.0000], [0.5927, 0.0000, 0.0000], [0.0000, 0.2537, 0.5000], [0.2537, 0.0000, 0.5000], [0.7463, 0.7463, 0.5000], [0.3333, 0.6667, 0.5000], [0.6667, 0.3333, 0.5000], [0.0000, 0.0000, 0.0000]]
}


Number 1: spin magnetization 0.0 μB/f.u.. Number 2: spin magnetization 1.0 μB/f.u.. Number 3: spin magnetization 0.0 μB/f.u.. Number 4: spin magnetization 0.0 μB/f.u.. Number 5: spin magnetization 0.3 μB/f.u.. Number 6: spin magnetization 0.0 μB/f.u..